[1]
The following is a PBEsol calculation of crystalline YMnAs2Se at its relaxed geometry, from Alexandria via LeMat-Bulk.

Values from the calculation:
Magnetization ... 4.4 μB/f.u.
ΔE_f (raw) ... 576 meV per atom

```
data_YMnAs2Se
_chemical_formula_sum 'Y1 Mn1 As2 Se1'
_cell_length_a 5.3054
_cell_length_b 5.3054
_cell_length_c 5.2697
_cell_angle_alpha 90.00
_cell_angle_beta 90.00
_cell_angle_gamma 90.00
_symmetry_space_group_name_H-M 'P 4/m m m'
_symmetry_Int_Tables_number 123
_symmetry_space_group_name_Hall '-P 4 2'
loop_
_atom_site_label
_atom_site_type_symbol
_atom_site_fract_x
_atom_site_fract_y
_atom_site_fract_z
_atom_site_occupancy
Y1 Y 0.0000 0.0000 0.0000 1
Mn1 Mn 0.5000 0.5000 0.5000 1
As1 As 0.0000 0.5000 0.0000 1
Se1 Se 0.0000 0.0000 0.5000 1
```

[2]
The following is a PBEsol calculation of crystalline ZrBeSi at its relaxed geometry, from Alexandria via LeMat-Bulk.

Values from the calculation:
Magnetization ... 0.0 μB/f.u.
ΔE_f (raw) ... -795 meV per atom

```
data_ZrBeSi
_chemical_formula_sum 'Zr1 Be1 Si1'
_cell_length_a 3.7176
_cell_length_b 3.7176
_cell_length_c 3.5745
_cell_angle_alpha 90.00
_cell_angle_beta 90.00
_cell_angle_gamma 120.00
_symmetry_space_group_name_H-M 'P -6 m 2'
_symmetry_Int_Tables_number 187
_symmetry_space_group_name_Hall 'P -6 2'
loop_
_atom_site_label
_atom_site_type_symbol
_atom_site_fract_x
_atom_site_fract_y
_atom_site_fract_z
_atom_site_occupancy
Zr1 Zr 0.0000 0.0000 0.0000 1
Be1 Be 0.3333 0.6667 0.5000 1
Si1 Si 0.6667 0.3333 0.5000 1
```

[3]
The following is a PBEsol calculation of crystalline ZnAs2Pb2O9 at its relaxed geometry, from Alexandria via LeMat-Bulk.

Values from the calculation:
Magnetization ... 0.0 μB/f.u.
ΔE_f (raw) ... -1118 meV per atom

```
data_ZnAs2Pb2O9
_chemical_formula_sum 'Zn2 As4 Pb4 O18'
_cell_length_a 7.9208
_cell_length_b 5.8891
_cell_length_c 8.8618
_cell_angle_alpha 90.00
_cell_angle_beta 114.67
_cell_angle_gamma 90.00
_symmetry_space_group_name_H-M 'P 1 21/m 1'
_symmetry_Int_Tables_number 11
loop_
_symmetry_equiv_pos_as_xyz
'x,y,z'
'-x,-y,-z'
'-x,y+1/2,-z'
'x,-y+1/2,z'
loop_
_atom_site_label
_atom_site_type_symbol
_atom_site_fract_x
_atom_site_fract_y
_atom_site_fract_z
_atom_site_occupancy
Zn1 Zn 0.0000 0.0000 0.0000 1
As1 As 0.0208 0.2500 0.6546 1
As2 As 0.4290 0.7500 0.1637 1
Pb1 Pb 0.2601 0.7500 0.7239 1
Pb2 Pb 0.3251 0.2500 0.3718 1
O1 O 0.0815 0.2500 0.4926 1
O2 O 0.1051 0.0208 0.7876 1
O3 O 0.1467 0.2500 0.1102 1
O4 O 0.2030 0.7500 0.1359 1
O5 O 0.2207 0.7500 0.4541 1
O6 O 0.4606 0.7500 0.9855 1
O7 O 0.4665 0.0150 0.7120 1
```

[4]
The following is a PBEsol calculation of crystalline Tl2AgHg at its relaxed geometry, from Alexandria via LeMat-Bulk.

Values from the calculation:
Energy of formation ... 0.10 eV per atom
Magnetization ... 0.0 μB/f.u.

```
data_Tl2AgHg
_chemical_formula_sum 'Tl6 Ag3 Hg3'
_cell_length_a 3.3921
_cell_length_b 3.3921
_cell_length_c 28.6335
_cell_angle_alpha 90.00
_cell_angle_beta 90.00
_cell_angle_gamma 120.00
_symmetry_space_group_name_H-M 'R -3 m'
_symmetry_Int_Tables_number 166
_symmetry_space_group_name_Hall '-R 3 2"'
loop_
_atom_site_label
_atom_site_type_symbol
_atom_site_fract_x
_atom_site_fract_y
_atom_site_fract_z
_atom_site_occupancy
Tl1 Tl 0.0000 0.0000 0.2447 1
Ag1 Ag 0.0000 0.0000 0.5000 1
Hg1 Hg 0.0000 0.0000 0.0000 1
```

[5]
The following is a PBEsol calculation of crystalline Tl8SnTe6Pb at its relaxed geometry, from Alexandria via LeMat-Bulk.

Values from the calculation:
Magnetization ... 0.0 μB/f.u.
ΔE_f (raw) ... -277 meV per atom

```
data_Tl8SnTe6Pb
_chemical_formula_sum 'Tl16 Sn2 Te12 Pb2'
_cell_length_a 8.7097
_cell_length_b 8.7097
_cell_length_c 12.9125
_cell_angle_alpha 90.00
_cell_angle_beta 90.00
_cell_angle_gamma 90.00
_symmetry_space_group_name_H-M 'I 4/m'
_symmetry_Int_Tables_number 87
_symmetry_space_group_name_Hall '-I 4'
loop_
_atom_site_label
_atom_site_type_symbol
_atom_site_fract_x
_atom_site_fract_y
_atom_site_fract_z
_atom_site_occupancy
Tl1 Tl 0.1454 0.6463 0.1609 1
Sn1 Sn 0.0000 0.0000 0.0000 1
Te1 Te 0.0000 0.0000 0.2472 1
Te2 Te 0.1596 0.3350 0.0000 1
Pb1 Pb 0.0000 0.0000 0.5000 1
```

[6]
The following is a PBEsol calculation of crystalline Si3B3W10 at its relaxed geometry, from Alexandria via LeMat-Bulk.

Values from the calculation:
Magnetization ... 0.0 μB/f.u.
ΔE_f (raw) ... -237 meV per atom

```
data_Si3B3W10
_chemical_formula_sum 'Si12 B12 W40'
_cell_length_a 8.5995
_cell_length_b 11.0316
_cell_length_c 8.7701
_cell_angle_alpha 90.00
_cell_angle_beta 90.00
_cell_angle_gamma 90.00
_symmetry_space_group_name_H-M 'F m m 2'
_symmetry_Int_Tables_number 42
_symmetry_space_group_name_Hall 'F 2 -2'
loop_
_atom_site_label
_atom_site_type_symbol
_atom_site_fract_x
_atom_site_fract_y
_atom_site_fract_z
_atom_site_occupancy
Si1 Si 0.0000 0.0000 0.0000 1
Si2 Si 0.2500 0.2500 0.3844 1
B1 B 0.0000 0.0000 0.2616 1
B2 B 0.1252 0.0000 0.6276 1
W1 W 0.0000 0.1414 0.4706 1
W2 W 0.0000 0.1453 0.7764 1
W3 W 0.1705 0.1428 0.1361 1
W4 W 0.2432 0.0000 0.3774 1
```

magnetization of number 1 (YMnAs2Se)? 4.4 μB/f.u.